(1)
The following is a PBE-GGA calculation of a relaxed structure of Ac9Pr4In11, from Alexandria.

Lattice parameters (Å, degrees): 17.494 23.929 3.862 90.00 90.00 90.00
Space group Cmmm (No. 65)
One atom of each set of equivalent atoms:
Ac (0.000, 0.000, 0.000) (multiplicity 2)
Ac (0.113, 0.231, 0.000) (multiplicity 8)
Ac (0.118, 0.411, 0.000) (multiplicity 8)
Pr (0.165, 0.087, 0.000) (multiplicity 8)
In (0.000, 0.125, 0.500) (multiplicity 4)
In (0.000, 0.322, 0.500) (multiplicity 4)
In (0.000, 0.500, 0.500) (multiplicity 2)
In (0.235, 0.318, 0.500) (multiplicity 8)
In (0.236, 0.500, 0.500) (multiplicity 4)

Summary:
DFT formation energy = -364 meV per atom
crystal system = orthorhombic
total magnetization = 0.0 μB per formula unit



(2)
The following is a PBE-GGA calculation of a relaxed structure of AgPtNF2, from Alexandria.

Lattice parameters (Å, degrees): 4.566 4.566 3.671 90.00 90.00 90.00
Space group P4/mmm (No. 123)
One atom of each set of equivalent atoms:
Ag (0.000, 0.000, 0.000) (multiplicity 1)
Pt (0.500, 0.500, 0.500) (multiplicity 1)
N (0.500, 0.500, 0.000) (multiplicity 1)
F (0.000, 0.500, 0.500) (multiplicity 2)

Summary:
ΔE to the lowest computed polymorph = 0.00 eV per formula unit
crystal system = tetragonal
total magnetization = 0.0 μB per formula unit



(3)
The following is a PBE-GGA calculation of a relaxed structure of La2Ag, from Alexandria.

Lattice parameters (Å, degrees): 7.785 7.785 6.088 90.00 90.00 90.00
Space group I4/mcm (No. 140)
One atom of each set of equivalent atoms:
La (0.157, 0.343, 0.000) (multiplicity 8)
Ag (0.000, 0.000, 0.250) (multiplicity 4)

Summary:
DFT formation energy = -152 meV per atom
crystal system = tetragonal
total magnetization = 0.0 μB per formula unit



(4)
The following is a PBE-GGA calculation of a relaxed structure of CaPa2AlO8, from Alexandria.

Lattice parameters (Å, degrees): 6.748 6.964 7.042 90.00 90.00 90.00
Space group Cmmm (No. 65)
One atom of each set of equivalent atoms:
Ca (0.000, 0.000, 0.000) (multiplicity 2)
Pa (0.000, 0.500, 0.257) (multiplicity 4)
Al (0.000, 0.000, 0.500) (multiplicity 2)
O (0.000, 0.293, 0.500) (multiplicity 4)
O (0.000, 0.320, 0.000) (multiplicity 4)
O (0.189, 0.000, 0.291) (multiplicity 8)

Summary:
crystal system = orthorhombic
total magnetization = 0.0 μB per formula unit
total energy = -203.4 eV for the cell shown



(5)
The following is a PBE-GGA calculation of a relaxed structure of AgGe2BiPt, from Alexandria.

Lattice parameters (Å, degrees): 4.791 4.791 5.326 90.00 90.00 90.00
Space group P4/mmm (No. 123)
One atom of each set of equivalent atoms:
Ag (0.000, 0.000, 0.000) (multiplicity 1)
Ge (0.000, 0.500, 0.500) (multiplicity 2)
Bi (0.500, 0.500, 0.000) (multiplicity 1)
Pt (0.000, 0.000, 0.500) (multiplicity 1)

Summary:
DFT formation energy = 217 meV per atom
crystal system = tetragonal
total magnetization = 0.0 μB per formula unit



(6)
The following is a PBE-GGA calculation of a relaxed structure of CaZrIO2, from Alexandria.

Lattice parameters (Å, degrees): 4.384 4.384 5.627 90.00 90.00 90.00
Space group P4/mmm (No. 123)
One atom of each set of equivalent atoms:
Ca (0.000, 0.000, 0.000) (multiplicity 1)
Zr (0.500, 0.500, 0.500) (multiplicity 1)
I (0.000, 0.000, 0.500) (multiplicity 1)
O (0.000, 0.500, 0.000) (multiplicity 2)

Summary:
ΔE to the lowest computed polymorph = 6.28 eV per formula unit
crystal system = tetragonal
total magnetization = 0.8 μB per formula unit